DFT (PBE) results for RbTcO3 after structural relaxation.

Lattice parameters (Å, degrees): 5.1186 6.0977 6.6210 114.71 98.41 92.27
Space group P-1 (No. 2)
Asymmetric unit:
Rb  0.2438  0.3186  0.1737 x2
Tc  0.2273  0.9706  0.5558 x2
O  0.0105  0.7710  0.2816 x2
O  0.2573  0.8775  0.7780 x2
O  0.4626  0.2233  0.5694 x2

Results
raw total energy	-68.4	eV/cell